Run one
Density functional theory data (PBE-GGA) for a relaxed BeNbV crystal.

POSCAR file:
```
BeNbV
1.0
-2.1466 -1.5434 0.2411
0.8992 -0.8858 2.3356
-2.1753 5.5317 1.4266
Be Nb V
1 1 1
Cartesian
-3.1076 2.6164 3.6976 Be
-1.1861 -0.3471 1.8339 Nb
-1.7120 2.6405 1.6606 V
```

Output
Magnetization, μB per cell: 0.00


Run two
Density functional theory data (PBE-GGA) for a relaxed BeNbV crystal.

POSCAR file:
```
BeNbV
1.0
-0.8774 -3.9431 2.7528
2.1746 -0.1896 -4.3739
3.8027 -2.2249 2.1178
Be V Nb
2 2 2
Cartesian
0.6486 -2.0663 -0.8105 Be
2.9886 -1.2073 -1.1280 Be
1.0873 -0.0948 -2.1869 V
-0.4387 -1.9715 1.3764 V
2.4299 -2.4010 1.4680 Nb
2.6700 -3.9566 -0.9712 Nb
```

Output
Magnetization, μB per cell: 0.00


Short version: run two, run one, most stable first.


Run one
Density functional theory data (PBE-GGA) for a relaxed BeNbV3 crystal.

POSCAR file:
```
BeNbV3
1.0
-2.7165 0.7890 -3.0536
-3.1035 0.0482 2.7734
0.5611 4.0867 0.5569
Be V Nb
1 3 1
Cartesian
0.0000 0.0000 0.0000 Be
-1.3582 0.3945 -1.5268 V
-1.5518 0.0241 1.3867 V
0.2805 2.0434 0.2784 V
-2.6295 2.4620 0.1384 Nb
```

Output
Magnetization, μB per cell: 0.00


Run two
Density functional theory data (PBE-GGA) for a relaxed BeNbV3 crystal.

POSCAR file:
```
BeNbV3
1.0
4.5516 0.0000 0.0000
0.0000 4.5516 0.0000
0.0000 0.0000 4.5516
V Be Nb
3 1 1
Cartesian
0.0000 0.0000 2.2758 V
2.2758 0.0000 0.0000 V
0.0000 2.2758 0.0000 V
2.2758 2.2758 2.2758 Be
0.0000 0.0000 0.0000 Nb
```

Output
Magnetization, μB per cell: 0.01


Short version: run one, run two, most stable first.